1.
Density functional theory data (PBE) for crystalline La6PtS2Br3 at its relaxed geometry.

Lattice parameters (Å, degrees): 7.294 7.294 7.743 99.02 99.02 119.95
Element x y z (fractional)
La: 0.928 0.589 0.784
La: 0.733 0.733 0.216
La: 0.072 0.411 0.216
La: 0.589 0.928 0.784
La: 0.267 0.267 0.784
La: 0.411 0.072 0.216
Pt: 0.000 0.000 0.000
S: 0.333 0.667 0.000
S: 0.667 0.333 0.000
Br: 0.165 0.835 0.500
Br: 0.835 0.165 0.500
Br: 0.500 0.500 0.500

Formation energy from raw total energies ... -19.12 eV per formula unit
SG ... C2/m (12)

=====

2.
Density functional theory data (PBE) for crystalline CaZn11Co at its relaxed geometry.

Lattice parameters (Å, degrees): 5.021 6.822 6.828 82.31 68.43 68.67
Element x y z (fractional)
Ca: 0.000 0.000 0.000
Zn: 0.293 0.223 0.214
Zn: 0.707 0.777 0.786
Zn: 0.493 0.777 0.214
Zn: 0.507 0.223 0.786
Zn: 0.369 0.638 0.659
Zn: 0.631 0.362 0.341
Zn: 0.972 0.362 0.659
Zn: 0.028 0.638 0.341
Zn: 0.000 0.500 0.000
Zn: 0.500 0.000 0.500
Zn: 0.000 0.000 0.500
Co: 0.500 0.500 0.000

Formation energy ... -0.1283 eV per atom
SG ... C2/m (12)

=====

3.
Density functional theory data (PBE) for crystalline CuAsPdPt at its relaxed geometry.

Lattice parameters (Å, degrees): 4.422 4.422 4.422 60.00 60.00 60.00
Element x y z (fractional)
As: 0.750 0.750 0.750
Cu: 0.000 0.000 0.000
Pd: 0.250 0.250 0.250
Pt: 0.500 0.500 0.500

Formation energy ... -0.0585 eV per atom
SG ... F-43m (216)